Entry 1:
Ti6Pt5Rh | the Alexandria database | GGA-PBE | optimized geometry; E = -7.958 eV/atom; ΔH_f (0 K) = -0.881 eV per atom; DOS at the Fermi energy = 13.62 states/eV/cell
1.0
4.7698 -0.0381 0.1245
-0.0151 5.2440 2.1500
0.1189 0.0244 7.4135
Rh Pt Ti
1 5 6
Direct
0.0000 0.0000 0.0000 Rh
0.6652 0.1670 0.6660 Pt
0.3342 0.3337 0.3325 Pt
0.0000 0.5000 0.0000 Pt
0.6658 0.6663 0.6675 Pt
0.3348 0.8330 0.3340 Pt
0.8362 0.5855 0.3308 Ti
0.8362 0.0835 0.3308 Ti
0.5000 0.7517 0.0000 Ti
0.5000 0.2483 0.0000 Ti
0.1638 0.9165 0.6692 Ti
0.1638 0.4145 0.6692 Ti

Entry 2:
Ti3PtRh | the Alexandria database | GGA-PBE | optimized geometry; E = -6.935 eV/atom; ΔH_f (0 K) = 0.480 eV per atom; DOS at the Fermi energy = 9.73 states/eV/cell
1.0
4.7200 0.0000 0.0000
0.0000 4.7200 0.0000
0.0000 0.0000 4.7200
Rh Pt Ti
1 1 3
Direct
0.5000 0.5000 0.5000 Rh
0.0000 0.0000 0.0000 Pt
0.0000 0.5000 0.0000 Ti
0.0000 0.0000 0.5000 Ti
0.5000 0.0000 0.0000 Ti

Entry 3:
TiPt6Rh2 | the Alexandria database | GGA-PBE | optimized geometry; E = -6.980 eV/atom; ΔH_f (0 K) = -0.442 eV per atom; DOS at the Fermi energy = 15.12 states/eV/cell
1.0
-1.2943 -3.6748 -0.4818
7.7413 -2.4854 -1.8391
1.4166 -1.5564 8.0659
Ti Pt Rh
2 12 4
Direct
0.5000 0.5000 0.0000 Ti
0.0000 0.0000 0.5000 Ti
0.0000 0.9998 0.1725 Pt
0.0000 0.6725 0.4999 Pt
0.0000 0.6616 0.8385 Pt
0.5000 0.1616 0.6615 Pt
0.5000 0.1725 0.0001 Pt
0.5000 0.4998 0.3275 Pt
0.0000 0.0002 0.8275 Pt
0.0000 0.3275 0.5001 Pt
0.0000 0.3384 0.1615 Pt
0.5000 0.8384 0.3385 Pt
0.5000 0.8275 0.9999 Pt
0.5000 0.5002 0.6725 Pt
0.0000 0.3381 0.8380 Rh
0.5000 0.8381 0.6620 Rh
0.5000 0.1619 0.3380 Rh
0.0000 0.6619 0.1620 Rh

Entry 4:
Ti5PtRh4 | the Alexandria database | GGA-PBE | optimized geometry; E = -8.265 eV/atom; ΔH_f (0 K) = -0.773 eV per atom; DOS at the Fermi energy = 10.89 states/eV/cell
1.0
-1.2614 -0.0801 -2.6330
0.7823 -2.7990 -0.2897
-15.2549 -5.0357 7.4615
Ti Pt Rh
5 1 4
Direct
0.5000 0.5000 0.1064 Ti
0.5000 0.5000 0.3032 Ti
0.5000 0.5000 0.5000 Ti
0.5000 0.5000 0.6968 Ti
0.5000 0.5000 0.8936 Ti
0.0000 0.0000 0.0000 Pt
0.0000 0.0000 0.2064 Rh
0.0000 0.0000 0.4007 Rh
0.0000 0.0000 0.5993 Rh
0.0000 0.0000 0.7936 Rh

Entry 5:
Ti2Pt9Rh | the Alexandria database | GGA-PBE | optimized geometry; E = -7.052 eV/atom; ΔH_f (0 K) = -0.593 eV per atom; DOS at the Fermi energy = 13.83 states/eV/cell
1.0
3.9426 0.0000 0.0000
0.0000 3.9426 0.0000
0.0000 0.0000 11.8504
Ti Pt Rh
2 9 1
Direct
0.0000 0.0000 0.3285 Ti
0.0000 0.0000 0.6715 Ti
0.5000 0.5000 0.0000 Pt
0.5000 0.5000 0.3354 Pt
0.5000 0.5000 0.6646 Pt
0.5000 0.0000 0.1714 Pt
0.5000 0.0000 0.5000 Pt
0.5000 0.0000 0.8286 Pt
0.0000 0.5000 0.1714 Pt
0.0000 0.5000 0.5000 Pt
0.0000 0.5000 0.8286 Pt
0.0000 0.0000 0.0000 Rh

Entry 6:
Ti2PtRh4 | the Alexandria database | GGA-PBE | optimized geometry; E = -7.705 eV/atom; ΔH_f (0 K) = -0.385 eV per atom; DOS at the Fermi energy = 13.07 states/eV/cell
1.0
9.2153 0.0000 0.0000
0.0000 4.5981 -3.9651
0.0000 -2.0665 6.9021
Ti Pt Rh
4 2 8
Direct
0.9406 0.7942 0.5006 Ti
0.0594 0.2058 0.4994 Ti
0.4406 0.7058 0.4994 Ti
0.5594 0.2942 0.5006 Ti
0.0000 0.0000 0.0000 Pt
0.5000 0.5000 0.0000 Pt
0.8579 0.6002 0.9994 Rh
0.8104 0.4100 0.4998 Rh
0.6896 0.9100 0.4998 Rh
0.6421 0.1002 0.9994 Rh
0.3579 0.8998 0.0006 Rh
0.3104 0.0900 0.5002 Rh
0.1896 0.5900 0.5002 Rh
0.1421 0.3998 0.0006 Rh